#i
A geometry-optimized Pm6Cu2Pt structure. Source: the Alexandria database, functional PBE.

a = 8.555 Å, b = 8.555 Å, c = 8.555 Å
α = 110.05°, β = 109.29°, γ = 109.07°
Element x y z (fractional)
Pm  0.061  0.243  0.818
Pm  0.172  0.474  0.302
Pm  0.172  0.871  0.698
Pm  0.327  0.237  0.564
Pm  0.327  0.763  0.090
Pm  0.426  0.243  0.182
Pm  0.574  0.757  0.818
Pm  0.673  0.237  0.910
Pm  0.673  0.763  0.436
Pm  0.828  0.129  0.302
Pm  0.828  0.526  0.698
Pm  0.939  0.757  0.182
Cu  0.145  0.500  0.645
Cu  0.380  0.880  0.500
Cu  0.620  0.120  0.500
Cu  0.855  0.500  0.355
Pt  0.000  0.000  0.000
Pt  0.500  0.500  0.000

**Space group**: Immm



#ii
A geometry-optimized Pm6Cu2Pt structure. Source: the Alexandria database, functional PBE.

a = 6.677 Å, b = 7.439 Å, c = 12.298 Å
α = 90.00°, β = 121.69°, γ = 90.00°
Element x y z (fractional)
Pm  0.077  0.188  0.425
Pm  0.077  0.312  0.925
Pm  0.250  0.670  0.429
Pm  0.250  0.830  0.929
Pm  0.399  0.042  0.242
Pm  0.399  0.458  0.742
Pm  0.601  0.542  0.258
Pm  0.601  0.958  0.758
Pm  0.750  0.170  0.071
Pm  0.750  0.330  0.571
Pm  0.923  0.688  0.075
Pm  0.923  0.812  0.575
Cu  0.175  0.114  0.741
Cu  0.175  0.386  0.241
Cu  0.825  0.614  0.759
Cu  0.825  0.886  0.259
Pt  0.500  0.000  0.500
Pt  0.500  0.500  0.000

**Space group**: P2_1/c



Verdict on stability: #ii comes out at the bottom.



#i
A geometry-optimized PmCuPt structure. Source: the Alexandria database, functional PBE.

a = 5.604 Å, b = 5.604 Å, c = 7.048 Å
α = 127.40°, β = 127.40°, γ = 46.28°
Element x y z (fractional)
Pm  0.043  0.043  0.296
Pm  0.957  0.957  0.704
Cu  0.346  0.346  0.906
Cu  0.654  0.654  0.094
Pt  0.325  0.325  0.285
Pt  0.675  0.675  0.715

**Space group**: C2/m



#ii
A geometry-optimized PmCuPt structure. Source: the Alexandria database, functional PBE.

a = 4.384 Å, b = 4.384 Å, c = 3.713 Å
α = 90.00°, β = 90.00°, γ = 120.00°
Element x y z (fractional)
Pm  0.000  0.000  0.000
Cu  0.667  0.333  0.500
Pt  0.333  0.667  0.500

**Space group**: P-6m2



Verdict on stability: #i comes out at the bottom.



#i
A geometry-optimized PmCuPt structure. Source: the Alexandria database, functional PBE.

a = 5.157 Å, b = 5.157 Å, c = 5.157 Å
α = 138.35°, β = 138.35°, γ = 60.37°
Element x y z (fractional)
Pm  0.000  0.000  0.000
Cu  0.319  0.319  0.000
Pt  0.665  0.665  0.000

**Space group**: I4mm



#ii
A geometry-optimized PmCuPt structure. Source: the Alexandria database, functional PBE.

a = 11.602 Å, b = 11.602 Å, c = 11.602 Å
α = 158.53°, β = 45.20°, γ = 140.71°
Element x y z (fractional)
Pm  0.000  0.000  0.000
Pm  0.075  0.910  0.165
Pm  0.332  0.001  0.331
Pm  0.417  0.917  0.500
Pm  0.670  0.001  0.669
Pm  0.745  0.910  0.835
Cu  0.183  0.290  0.894
Cu  0.350  0.625  0.725
Cu  0.396  0.290  0.106
Cu  0.727  0.289  0.438
Cu  0.851  0.289  0.562
Cu  0.901  0.625  0.275
Pt  0.017  0.612  0.406
Pt  0.062  0.303  0.759
Pt  0.206  0.612  0.594
Pt  0.536  0.610  0.926
Pt  0.544  0.303  0.241
Pt  0.685  0.610  0.074

**Space group**: Imm2



#iii
A geometry-optimized PmCuPt structure. Source: the Alexandria database, functional PBE.

a = 4.625 Å, b = 4.625 Å, c = 4.625 Å
α = 60.00°, β = 60.00°, γ = 60.00°
Element x y z (fractional)
Pm  0.000  0.000  0.000
Cu  0.500  0.500  0.500
Pt  0.250  0.250  0.250

**Space group**: F-43m



Verdict on stability: #iii comes out at the bottom.



#i
A geometry-optimized PmCu2Pt4 structure. Source: the Alexandria database, functional PBE.

a = 6.111 Å, b = 6.111 Å, c = 6.111 Å
α = 99.52°, β = 99.52°, γ = 132.02°
Element x y z (fractional)
Pm  0.000  0.000  0.000
Cu  0.250  0.750  0.500
Cu  0.750  0.250  0.500
Pt  0.270  0.500  0.770
Pt  0.500  0.270  0.770
Pt  0.500  0.730  0.230
Pt  0.730  0.500  0.230

**Space group**: I4/mmm



#ii
A geometry-optimized PmCu2Pt4 structure. Source: the Alexandria database, functional PBE.

a = 5.441 Å, b = 5.441 Å, c = 5.157 Å
α = 118.18°, β = 118.18°, γ = 76.89°
Element x y z (fractional)
Pm  0.000  0.000  0.000
Cu  0.500  0.500  0.249
Cu  0.500  0.500  0.751
Pt  0.001  0.602  0.301
Pt  0.398  0.999  0.699
Pt  0.602  0.001  0.301
Pt  0.999  0.398  0.699

**Space group**: C2/m



Verdict on stability: #i comes out at the bottom.



#i
A geometry-optimized Pm3Cu2Pt structure. Source: the Alexandria database, functional PBE.

a = 12.014 Å, b = 4.395 Å, c = 11.071 Å
α = 90.00°, β = 90.00°, γ = 90.00°
Element x y z (fractional)
Pm  0.052  0.250  0.125
Pm  0.113  0.750  0.566
Pm  0.223  0.250  0.803
Pm  0.277  0.750  0.303
Pm  0.387  0.250  0.066
Pm  0.448  0.750  0.625
Pm  0.552  0.250  0.375
Pm  0.613  0.750  0.934
Pm  0.723  0.250  0.697
Pm  0.777  0.750  0.197
Pm  0.887  0.250  0.434
Pm  0.948  0.750  0.875
Cu  0.014  0.750  0.304
Cu  0.195  0.750  0.014
Cu  0.305  0.250  0.514
Cu  0.486  0.250  0.804
Cu  0.514  0.750  0.196
Cu  0.695  0.750  0.486
Cu  0.805  0.250  0.986
Cu  0.986  0.250  0.696
Pt  0.126  0.250  0.377
Pt  0.374  0.750  0.877
Pt  0.626  0.250  0.123
Pt  0.874  0.750  0.623

**Space group**: Pnma



#ii
A geometry-optimized Pm3Cu2Pt structure. Source: the Alexandria database, functional PBE.

a = 3.575 Å, b = 3.575 Å, c = 10.763 Å
α = 90.00°, β = 90.00°, γ = 90.00°
Element x y z (fractional)
Pm  0.000  0.000  0.000
Pm  0.000  0.000  0.336
Pm  0.000  0.000  0.664
Cu  0.500  0.500  0.161
Cu  0.500  0.500  0.839
Pt  0.500  0.500  0.500

**Space group**: P4/mmm



Verdict on stability: #i comes out at the bottom.



#i
A geometry-optimized PmSmCuPt structure. Source: the Alexandria database, functional PBE.

a = 5.047 Å, b = 5.047 Å, c = 5.047 Å
α = 60.00°, β = 60.00°, γ = 60.00°
Element x y z (fractional)
Pm  0.000  0.000  0.000
Sm  0.500  0.500  0.500
Cu  0.750  0.750  0.750
Pt  0.250  0.250  0.250

**Space group**: F-43m



#ii
A geometry-optimized PmSmCuPt structure. Source: the Alexandria database, functional PBE.

a = 4.515 Å, b = 5.709 Å, c = 5.709 Å
α = 39.88°, β = 90.00°, γ = 90.00°
Element x y z (fractional)
Pm  0.000  0.000  0.000
Sm  0.500  0.277  0.277
Cu  0.500  0.563  0.563
Pt  0.000  0.716  0.716

**Space group**: Amm2



Verdict on stability: #i comes out at the bottom.



#i
A geometry-optimized TbPmCuPt structure. Source: the Alexandria database, functional PBE.

a = 5.005 Å, b = 5.005 Å, c = 5.005 Å
α = 60.00°, β = 60.00°, γ = 60.00°
Element x y z (fractional)
Tb  0.000  0.000  0.000
Pm  0.500  0.500  0.500
Cu  0.250  0.250  0.250
Pt  0.750  0.750  0.750

**Space group**: F-43m



#ii
A geometry-optimized TbPmCuPt structure. Source: the Alexandria database, functional PBE.

a = 4.466 Å, b = 5.693 Å, c = 5.693 Å
α = 39.50°, β = 90.00°, γ = 90.00°
Element x y z (fractional)
Tb  0.000  0.000  0.000
Pm  0.500  0.723  0.723
Cu  0.000  0.287  0.287
Pt  0.500  0.442  0.442

**Space group**: Amm2



Verdict on stability: #i comes out at the bottom.



#i
A geometry-optimized PmTmCuPt structure. Source: the Alexandria database, functional PBE.

a = 4.961 Å, b = 4.961 Å, c = 4.961 Å
α = 60.00°, β = 60.00°, γ = 60.00°
Element x y z (fractional)
Pm  0.000  0.000  0.000
Tm  0.500  0.500  0.500
Cu  0.250  0.250  0.250
Pt  0.750  0.750  0.750

**Space group**: F-43m



#ii
A geometry-optimized PmTmCuPt structure. Source: the Alexandria database, functional PBE.

a = 4.413 Å, b = 5.681 Å, c = 5.681 Å
α = 39.09°, β = 90.00°, γ = 90.00°
Element x y z (fractional)
Pm  0.000  0.000  0.000
Tm  0.500  0.278  0.278
Cu  0.500  0.565  0.565
Pt  0.000  0.721  0.721

**Space group**: Amm2



Verdict on stability: #i comes out at the bottom.



#i
A geometry-optimized Pm2PuCu structure. Source: the Alexandria database, functional PBE.

a = 11.282 Å, b = 11.282 Å, c = 11.282 Å
α = 17.62°, β = 17.62°, γ = 17.62°
Element x y z (fractional)
Pm  0.101  0.101  0.101
Pm  0.899  0.899  0.899
Pu  0.000  0.000  0.000
Cu  0.500  0.500  0.500

**Space group**: R-3m



#ii
A geometry-optimized Pm2PuCu structure. Source: the Alexandria database, functional PBE.

a = 3.539 Å, b = 3.539 Å, c = 8.555 Å
α = 90.00°, β = 90.00°, γ = 90.00°
Element x y z (fractional)
Pm  0.000  0.000  0.208
Pm  0.000  0.000  0.792
Pu  0.500  0.500  0.500
Cu  0.500  0.500  0.000

**Space group**: P4/mmm



Verdict on stability: #i comes out at the bottom.



#i
A geometry-optimized PmPuCu2 structure. Source: the Alexandria database, functional PBE.

a = 8.056 Å, b = 8.056 Å, c = 8.056 Å
α = 27.27°, β = 27.27°, γ = 27.27°
Element x y z (fractional)
Pm  0.000  0.000  0.000
Pu  0.500  0.500  0.500
Cu  0.250  0.250  0.250
Cu  0.750  0.750  0.750

**Space group**: R-3m



#ii
A geometry-optimized PmPuCu2 structure. Source: the Alexandria database, functional PBE.

a = 3.482 Å, b = 3.482 Å, c = 7.153 Å
α = 90.00°, β = 90.00°, γ = 90.00°
Element x y z (fractional)
Pm  0.000  0.000  0.000
Pu  0.000  0.000  0.500
Cu  0.500  0.500  0.252
Cu  0.500  0.500  0.748

**Space group**: P4/mmm



Verdict on stability: #i comes out at the bottom.



#i
A geometry-optimized Pm2CuRe structure. Source: the Alexandria database, functional PBE.

a = 3.508 Å, b = 3.508 Å, c = 7.319 Å
α = 90.00°, β = 90.00°, γ = 90.00°
Element x y z (fractional)
Pm  0.000  0.000  0.236
Pm  0.000  0.000  0.764
Cu  0.500  0.500  0.500
Re  0.500  0.500  0.000

**Space group**: P4/mmm



#ii
A geometry-optimized Pm2CuRe structure. Source: the Alexandria database, functional PBE.

a = 4.994 Å, b = 4.994 Å, c = 4.994 Å
α = 60.00°, β = 60.00°, γ = 60.00°
Element x y z (fractional)
Pm  0.250  0.250  0.250
Pm  0.750  0.750  0.750
Cu  0.000  0.000  0.000
Re  0.500  0.500  0.500

**Space group**: Fm-3m



Verdict on stability: #ii comes out at the bottom.



#i
A geometry-optimized Pm8CuRh2 structure. Source: the Alexandria database, functional PBE.

a = 9.205 Å, b = 9.205 Å, c = 6.905 Å
α = 100.64°, β = 100.64°, γ = 32.30°
Element x y z (fractional)
Pm  0.039  0.039  0.273
Pm  0.199  0.199  0.833
Pm  0.332  0.332  0.534
Pm  0.411  0.411  0.056
Pm  0.589  0.589  0.944
Pm  0.668  0.668  0.466
Pm  0.801  0.801  0.167
Pm  0.961  0.961  0.727
Cu  0.500  0.500  0.500
Rh  0.204  0.204  0.240
Rh  0.796  0.796  0.760

**Space group**: C2/m



#ii
A geometry-optimized Pm8CuRh2 structure. Source: the Alexandria database, functional PBE.

a = 7.600 Å, b = 7.600 Å, c = 6.337 Å
α = 100.09°, β = 100.09°, γ = 112.10°
Element x y z (fractional)
Pm  0.000  0.000  0.000
Pm  0.017  0.284  0.583
Pm  0.156  0.581  0.198
Pm  0.284  0.017  0.583
Pm  0.439  0.710  0.819
Pm  0.581  0.156  0.198
Pm  0.710  0.439  0.819
Pm  0.718  0.718  0.386
Cu  0.357  0.357  0.994
Rh  0.045  0.676  0.692
Rh  0.676  0.045  0.692

**Space group**: Cm



Verdict on stability: #ii comes out at the bottom.